Dy3Zn4Hg2: relaxed, PBE.

Results
E_form = -0.3966 eV per atom
Fermi-level density of states = 5.5 states/eV/cell
total moment = 0.00 μB per cell
total DFT energy (no corrections) = -2.564 eV per atom

a b c (Å): 4.639 5.789 8.717
angles (deg): 113.03 90.00 113.62
Positions (direct):
Zn1 0.051 0.101 0.392
Hg1 0.612 0.224 0.277
Dy1 0.334 0.667 0.331
Zn2 0.728 0.457 0.051
Zn3 0.272 0.543 0.949
Zn4 0.949 0.899 0.608
Hg2 0.388 0.776 0.723
Dy2 0.666 0.333 0.669
Dy3 0.000 0.000 0.000